1.
The following is a PBE calculation of crystalline KBaN2O at its relaxed geometry, from Alexandria via LeMat-Bulk.

The structure belongs to space group P4/mmm (No. 123); the cell edges are 4.8937, 4.8937 and 4.6963 Å and the angles 90.00°, 90.00° and 90.00°. The inequivalent atoms are K at (0.0000, 0.0000, 0.0000), Ba at (0.5000, 0.5000, 0.5000), N at (0.0000, 0.5000, 0.0000) and O at (0.0000, 0.0000, 0.5000).

As for the theoretical density: 3.25 g cm⁻³. For the raw formation energy, the calculation gives 0.928 eV per atom. The value obtained for the total energy is -4.00 eV/atom.



2.
The following is a PBE calculation of crystalline ScMn2Te at its relaxed geometry, from Alexandria via LeMat-Bulk.

The structure belongs to space group F-43m (No. 216); the cell edges are 6.5598, 6.5598 and 6.5598 Å and the angles 90.00°, 90.00° and 90.00°. The inequivalent atoms are Sc at (0.0000, 0.0000, 0.0000), Mn at (0.0000, 0.0000, 0.5000), Mn at (0.2500, 0.2500, 0.7500) and Te at (0.2500, 0.2500, 0.2500).

As for the theoretical density: 6.65 g cm⁻³. For the raw formation energy, the calculation gives 0.139 eV per atom. The value obtained for the total energy is -6.81 eV/atom.



3.
The following is a PBE calculation of crystalline MgTiSbH2 at its relaxed geometry, from Alexandria via LeMat-Bulk.

The structure belongs to space group P4/mmm (No. 123); the cell edges are 4.1108, 4.1108 and 5.6150 Å and the angles 90.00°, 90.00° and 90.00°. The inequivalent atoms are Mg at (0.0000, 0.0000, 0.0000), Ti at (0.5000, 0.5000, 0.0000), Sb at (0.5000, 0.5000, 0.5000) and H at (0.0000, 0.5000, 0.5000).

As for the theoretical density: 3.43 g cm⁻³. The value obtained for the total energy is -3.41 eV/atom.



4.
The following is a PBE calculation of crystalline Ca2ZrPdRh at its relaxed geometry, from Alexandria via LeMat-Bulk.

The structure belongs to space group P4/mmm (No. 123); the cell edges are 5.6830, 5.6830 and 4.7252 Å and the angles 90.00°, 90.00° and 90.00°. The inequivalent atoms are Ca at (0.0000, 0.5000, 0.0000), Zr at (0.0000, 0.0000, 0.0000), Pd at (0.0000, 0.0000, 0.5000) and Rh at (0.5000, 0.5000, 0.5000).

The calculation puts the energy relative to the elements at 531 kJ/mol of formula units. As for the theoretical density: 4.14 g cm⁻³. The value obtained for the total energy is -3.92 eV/atom.



5.
The following is a PBE calculation of crystalline ErU2N3 at its relaxed geometry, from Alexandria via LeMat-Bulk.

The structure belongs to space group I4/mmm (No. 139); the cell edges are 3.4362, 3.4362 and 14.5693 Å and the angles 90.00°, 90.00° and 90.00°. The inequivalent atoms are Er at (0.0000, 0.0000, 0.0000), U at (0.0000, 0.0000, 0.3342), N at (0.0000, 0.0000, 0.1645) and N at (0.0000, 0.0000, 0.5000).

As for the theoretical density: 13.23 g cm⁻³. For the raw formation energy, the calculation gives -1.450 eV per atom. The value obtained for the total energy is -10.14 eV/atom.



6.
The following is a PBE calculation of crystalline NbV5Fe6 at its relaxed geometry, from Alexandria via LeMat-Bulk.

The structure belongs to space group Cmmm (No. 65); the cell edges are 3.9663, 11.8564 and 6.2469 Å and the angles 90.00°, 90.00° and 90.00°. The inequivalent atoms are Nb at (0.0000, 0.0000, 0.0000), V at (0.0000, 0.0000, 0.5000), V at (0.0000, 0.3233, 0.0000), V at (0.0000, 0.3336, 0.5000), Fe at (0.0000, 0.1684, 0.2765) and Fe at (0.0000, 0.5000, 0.2744).

The calculation puts the energy relative to the elements at -107 kJ/mol of formula units. As for the theoretical density: 7.72 g cm⁻³. The value obtained for the total energy is -8.96 eV/atom.